La6Dy5Ho, relaxed, DFT PBE-GGA; symmetry = No. 12; total DFT energy (no corrections) = -4.7389 eV per atom; spin magnetization = 0.00 μB per atom; volume = 410 Å³/cell
1.0
-6.036 0.007 1.478
-1.021 -6.064 -4.122
0.841 -8.147 5.122
Dy Ho La
5 1 6
direct
0.666 0.167 0.667
0.334 0.333 0.333
0.000 0.500 0.000
0.666 0.667 0.667
0.334 0.833 0.333
0.000 0.000 0.000
0.834 0.584 0.333
0.834 0.083 0.333
0.500 0.750 0.000
0.500 0.250 0.000
0.166 0.917 0.667
0.166 0.416 0.667

***

B2C, relaxed, DFT PBE-GGA; distance to the lowest polymorph of the same formula = 287 meV per atom; symmetry = No. 8; spin magnetization = 0.00 μB per atom; volume = 85 Å³/cell
1.0
-0.153 -6.283 2.934
2.018 -5.304 3.988
-2.385 0.649 4.309
B C
8 4
direct
0.337 0.337 0.330
0.279 0.279 0.050
0.148 0.148 0.139
0.127 0.127 0.807
0.010 0.010 0.061
0.987 0.987 0.704
0.837 0.837 0.792
0.615 0.615 0.415
0.787 0.787 0.540
0.676 0.676 0.637
0.489 0.489 0.521
0.457 0.457 0.254

***

La8HoEr2, relaxed, DFT PBE-GGA; distance to the lowest polymorph of the same formula = 0 meV per atom; symmetry = No. 12; spin magnetization = 0.00 μB per atom; volume = 386 Å³/cell
1.0
-1.446 -4.728 -1.657
3.301 1.573 -7.368
7.593 -1.490 5.832
La Ho Er
8 1 2
direct
0.592 0.454 0.184
0.318 0.088 0.637
0.137 0.186 0.275
0.047 0.728 0.094
0.863 0.814 0.725
0.682 0.912 0.363
0.408 0.546 0.816
0.953 0.272 0.906
0.500 0.000 0.000
0.227 0.634 0.453
0.773 0.366 0.547

***

Li2P3Pd5, relaxed, DFT PBE-GGA; symmetry = No. 15; total DFT energy (no corrections) = -5.1648 eV per atom; spin magnetization = 0.00 μB per atom; volume = 311 Å³/cell
1.0
5.276 -0.405 -0.838
-1.350 7.627 -1.539
-0.428 0.129 7.884
Li P Pd
4 6 10
direct
0.961 0.600 0.183
0.461 0.183 0.600
0.039 0.400 0.817
0.539 0.817 0.400
0.580 0.533 0.775
0.080 0.775 0.533
0.420 0.467 0.225
0.920 0.225 0.467
0.250 0.890 0.110
0.750 0.110 0.890
0.549 0.334 0.960
0.049 0.960 0.334
0.451 0.666 0.040
0.951 0.040 0.666
0.990 0.748 0.829
0.010 0.252 0.171
0.750 0.503 0.497
0.250 0.497 0.503
0.510 0.171 0.252
0.490 0.829 0.748

***

PbC, relaxed, DFT PBE-GGA; distance to the lowest polymorph of the same formula = 1062 meV per atom; symmetry = No. 129; spin magnetization = 0.00 μB per atom; volume = 90 Å³/cell
1.0
-0.503 -3.247 1.301
0.237 -1.343 -3.260
7.105 -0.768 0.833
Pb C
2 2
direct
0.250 0.250 0.240
0.750 0.750 0.760
0.250 0.750 0.000
0.750 0.250 0.000

***

K2HgTe, relaxed, DFT PBE-GGA; distance to the lowest polymorph of the same formula = 175 meV per atom; symmetry = No. 216; ΔE_f (raw) = -0.599 eV/atom; spin magnetization = 0.00 μB per atom; volume = 145 Å³/cell
1.0
-3.162 2.965 3.995
-5.233 2.274 -1.481
-4.954 -2.346 2.170
Hg K Te
1 2 1
direct
0.500 0.500 0.500
0.000 0.000 0.000
0.250 0.250 0.250
0.750 0.750 0.750

***

Which formula does entry 4 have?
Li2P3Pd5